# PrSm3Dy6Sc2

PrSm3Dy6Sc2 after structural relaxation (PBE-GGA, Alexandria).

Size of the total moment, μB/f.u.: 0.00
Crystal system: monoclinic
Energy of formation, eV per formula unit: 0.45
Symmetry: C2/m (12)

a = 6.116 Å, b = 6.116 Å, c = 11.714 Å
α = 94.97°, β = 94.97°, γ = 119.98°
Sites, in units of the cell vectors:
1 Pr 0.000 0.000 0.000
2 Sm 0.167 0.833 0.500
3 Sm 0.833 0.167 0.500
4 Sm 0.500 0.500 0.500
5 Dy 0.918 0.581 0.755
6 Dy 0.745 0.745 0.245
7 Dy 0.082 0.419 0.245
8 Dy 0.581 0.918 0.755
9 Dy 0.255 0.255 0.755
10 Dy 0.419 0.082 0.245
11 Sc 0.333 0.667 0.000
12 Sc 0.667 0.333 0.000

=====

# BaSi2Au

BaSi2Au after structural relaxation (PBE-GGA, Alexandria).

Size of the total moment, μB/f.u.: 0.00
E_form (uncorrected), kJ/mol of formula units: 98.2
Crystal system: tetragonal
Symmetry: P4/mmm (123)

a = 4.526 Å, b = 4.526 Å, c = 4.683 Å
α = 90.00°, β = 90.00°, γ = 90.00°
Sites, in units of the cell vectors:
1 Au 0.500 0.000 0.500
2 Ba 0.000 0.500 0.500
3 Si 0.000 0.000 0.000
4 Si 0.500 0.500 0.000

=====

# TmHf2Re

TmHf2Re after structural relaxation (PBE-GGA, Alexandria).

Size of the total moment, μB/f.u.: 0.00
Crystal system: tetragonal
Energy of formation, eV per formula unit: -0.31
Symmetry: P4/mmm (123)

a = 3.312 Å, b = 3.312 Å, c = 8.061 Å
α = 90.00°, β = 90.00°, γ = 90.00°
Sites, in units of the cell vectors:
1 Re 0.500 0.500 0.000
2 Tm 0.500 0.500 0.500
3 Hf 0.000 0.000 0.809
4 Hf 0.000 0.000 0.191

=====

# Cs2Cd5Hg5

Cs2Cd5Hg5 after structural relaxation (PBE-GGA, Alexandria).

Size of the total moment, μB/f.u.: 0.00
Crystal system: orthorhombic
Energy of formation, eV per formula unit: -1.40
Symmetry: Pmmm (47)

a = 5.274 Å, b = 6.355 Å, c = 11.434 Å
α = 90.00°, β = 90.00°, γ = 90.00°
Sites, in units of the cell vectors:
1 Cs 0.000 0.500 0.000
2 Cs 0.000 0.000 0.500
3 Cd 0.500 0.500 0.500
4 Cd 0.500 0.751 0.257
5 Cd 0.500 0.249 0.743
6 Cd 0.500 0.249 0.257
7 Cd 0.500 0.751 0.743
8 Hg 0.000 0.500 0.331
9 Hg 0.000 0.000 0.824
10 Hg 0.000 0.000 0.176
11 Hg 0.000 0.500 0.669
12 Hg 0.500 0.000 0.000

=====

# RhN2Cl

RhN2Cl after structural relaxation (PBE-GGA, Alexandria).

Size of the total moment, μB/f.u.: 0.00
Energy above the lowest structure with this stoichiometry, eV per formula unit: 3.65
E_form (uncorrected), kJ/mol of formula units: 704.0
Crystal system: trigonal
Symmetry: R-3m (166)

a = 6.672 Å, b = 6.672 Å, c = 6.672 Å
α = 26.84°, β = 26.84°, γ = 26.84°
Sites, in units of the cell vectors:
1 N 0.905 0.905 0.905
2 N 0.095 0.095 0.095
3 Rh 0.000 0.000 0.000
4 Cl 0.500 0.500 0.500

=====

# BaScIN2

BaScIN2 after structural relaxation (PBE-GGA, Alexandria).

Size of the total moment, μB/f.u.: 0.00
Energy above the lowest structure with this stoichiometry, eV per formula unit: 0.00
E_form (uncorrected), kJ/mol of formula units: -86.8
Crystal system: tetragonal
Symmetry: P4/mmm (123)

a = 4.496 Å, b = 4.496 Å, c = 5.710 Å
α = 90.00°, β = 90.00°, γ = 90.00°
Sites, in units of the cell vectors:
1 I 0.000 0.000 0.500
2 Sc 0.000 0.000 0.000
3 Ba 0.500 0.500 0.500
4 N 0.000 0.500 0.000
5 N 0.500 0.000 0.000

=====

# YNb3F

YNb3F after structural relaxation (PBE-GGA, Alexandria).

Size of the total moment, μB/f.u.: 0.00
Energy above the lowest structure with this stoichiometry, eV per formula unit: 0.00
E_form (uncorrected), kJ/mol of formula units: -1.9
Crystal system: cubic
Symmetry: Pm-3m (221)

a = 4.522 Å, b = 4.522 Å, c = 4.522 Å
α = 90.00°, β = 90.00°, γ = 90.00°
Sites, in units of the cell vectors:
1 Y 0.500 0.500 0.500
2 Nb 0.000 0.500 0.000
3 Nb 0.000 0.000 0.500
4 Nb 0.500 0.000 0.000
5 F 0.000 0.000 0.000

=====

# Li9Ga2Ag3

Li9Ga2Ag3 after structural relaxation (PBE-GGA, Alexandria).

Size of the total moment, μB/f.u.: 0.00
Crystal system: orthorhombic
Energy of formation, eV per formula unit: -2.30
Symmetry: Immm (71)

a = 4.607 Å, b = 7.618 Å, c = 7.618 Å
α = 100.47°, β = 72.40°, γ = 72.40°
Sites, in units of the cell vectors:
1 Li 0.000 0.500 0.500
2 Li 0.660 0.946 0.734
3 Li 0.340 0.054 0.266
4 Li 0.660 0.734 0.946
5 Li 0.340 0.266 0.054
6 Li 0.846 0.937 0.370
7 Li 0.154 0.063 0.630
8 Li 0.846 0.370 0.937
9 Li 0.154 0.630 0.063
10 Ga 0.500 0.314 0.686
11 Ga 0.500 0.686 0.314
12 Ag 0.000 0.000 0.000
13 Ag 0.680 0.320 0.320
14 Ag 0.320 0.680 0.680